DFT (PBE) results for a relaxed Rb2PaPbO6 crystal.

Results
The crystal system is tetragonal. The calculation puts the total energy at -6.4571 eV per atom. Its raw formation energy is -1968 meV/atom.

Cell lengths 4.4074, 4.4074, 8.7361 Å; angles 90.00, 90.00, 90.00 degrees
With the nearest neighbours (Å) after each atom.
Sites, in units of the cell vectors:
1 Rb 0.0000 0.0000 0.2387  12 O 3.03-3.17
2 Rb 0.0000 0.0000 0.7613  12 O 3.03-3.17
3 Pa 0.5000 0.5000 0.5000  6 O 2.13-2.20
4 Pb 0.5000 0.5000 0.0000  6 O 2.20-2.24
5 O 0.0000 0.5000 0.0000  2 Pb 2.20
6 O 0.0000 0.5000 0.5000  2 Pa 2.20
7 O 0.5000 0.0000 0.0000  2 Pb 2.20
8 O 0.5000 0.0000 0.5000  2 Pa 2.20
9 O 0.5000 0.5000 0.2566  1 Pa 2.13, 1 Pb 2.24
10 O 0.5000 0.5000 0.7434  1 Pa 2.13, 1 Pb 2.24